Entry i
A plane-wave DFT calculation with PBE-GGA was carried out for a geometry-optimized Nb4Al structure.

```
5
Lattice="4.7009 0.0000 0.0000 0.0000 4.7009 0.0000 0.0000 0.0000 4.7009" Properties=species:S:1:pos:R:3 pbc="T T T"
Nb 0.0000 0.0000 0.0000
Nb 0.0000 2.3505 2.3505
Nb 2.3505 0.0000 2.3505
Nb 2.3505 2.3505 0.0000
Al 2.3505 2.3505 2.3505
```

Summary:
Total moment (μB/f.u.): 0.000



Entry ii
A plane-wave DFT calculation with PBE-GGA was carried out for a geometry-optimized Nb4Al structure.

```
5
Lattice="0.0000 2.2636 11.4846 1.7068 0.0000 11.4846 1.7068 2.2636 0.0000" Properties=species:S:1:pos:R:3 pbc="T T T"
Nb 1.7068 2.2636 2.2166
Nb 1.7068 2.2636 6.9280
Nb 1.7068 2.2636 16.0413
Nb 1.7068 2.2636 20.7527
Al 1.7068 2.2636 11.4846
```

Summary:
Total moment (μB/f.u.): 0.000



Which structure loses on stability? entry i does.